1.
Material: BiPb2I
Method: DFT, GGA-PBE
State: optimized geometry

## Properties
- Size of the total moment: 0.00 μB per cell
- Formation energy from raw total energies: -16.0 kJ per mole of atoms
- Relative energy among the computed polymorphs: 29 meV/atom

Cell lengths 4.682, 4.682, 8.702 Å; angles 74.39, 74.39, 60.00 degrees
Fractional coordinates of all 4 atoms:
I (0.490, 0.490, 0.529)
Pb (0.075, 0.075, 0.774)
Bi (0.668, 0.668, 0.997)
Pb (0.267, 0.267, 0.199)


2.
Material: BiPb2I
Method: DFT, GGA-PBE
State: optimized geometry

## Properties
- Size of the total moment: 0.00 μB per cell
- Formation energy from raw total energies: -6.3 kJ per mole of atoms
- Relative energy among the computed polymorphs: 131 meV/atom

Cell lengths 5.728, 5.728, 5.728 Å; angles 60.00, 60.00, 60.00 degrees
Fractional coordinates of all 4 atoms:
Pb (0.750, 0.750, 0.750)
Pb (0.250, 0.250, 0.250)
I (0.500, 0.500, 0.500)
Bi (0.000, 0.000, 0.000)


3.
Material: BiPbI2
Method: DFT, GGA-PBE
State: optimized geometry

## Properties
- Size of the total moment: 0.00 μB per cell
- Formation energy from raw total energies: 8.4 kJ per mole of atoms
- Relative energy among the computed polymorphs: 73 meV/atom

Cell lengths 5.765, 5.765, 5.765 Å; angles 60.00, 60.00, 60.00 degrees
Fractional coordinates of all 4 atoms:
Pb (0.000, 0.000, 0.000)
I (0.250, 0.250, 0.250)
I (0.750, 0.750, 0.750)
Bi (0.500, 0.500, 0.500)


4.
Material: BiPbI
Method: DFT, GGA-PBE
State: optimized geometry

## Properties
- Size of the total moment: 0.00 μB per cell
- Formation energy from raw total energies: -4.8 kJ per mole of atoms
- Relative energy among the computed polymorphs: 150 meV/atom

Cell lengths 4.824, 9.669, 11.210 Å; angles 90.43, 102.43, 90.00 degrees
Fractional coordinates of all 12 atoms:
Pb (0.744, 0.870, 0.488)
Bi (0.340, 0.858, 0.679)
Pb (0.765, 0.378, 0.529)
Bi (0.363, 0.401, 0.725)
I (0.914, 0.619, 0.829)
I (0.560, 0.852, 0.120)
Bi (0.637, 0.599, 0.275)
I (0.440, 0.148, 0.880)
I (0.086, 0.381, 0.171)
Pb (0.256, 0.130, 0.512)
Pb (0.235, 0.622, 0.471)
Bi (0.660, 0.142, 0.321)


5.
Material: BiPbI6
Method: DFT, GGA-PBE
State: optimized geometry

## Properties
- Size of the total moment: 0.00 μB per cell
- Formation energy from raw total energies: -32.3 kJ per mole of atoms

Cell lengths 7.728, 7.724, 8.251 Å; angles 61.85, 61.88, 59.81 degrees
Fractional coordinates of all 8 atoms:
I (0.758, 0.058, 0.754)
I (0.242, 0.942, 0.246)
I (0.058, 0.430, 0.753)
I (0.430, 0.758, 0.753)
I (0.570, 0.242, 0.247)
I (0.942, 0.570, 0.247)
Pb (0.500, 0.500, 0.500)
Bi (0.000, 0.000, 0.000)


6.
Material: BiPb2I
Method: DFT, GGA-PBE
State: optimized geometry

## Properties
- Size of the total moment: 0.00 μB per cell
- Formation energy from raw total energies: -12.1 kJ per mole of atoms
- Relative energy among the computed polymorphs: 71 meV/atom

Cell lengths 3.988, 3.988, 8.571 Å; angles 90.00, 90.00, 90.00 degrees
Fractional coordinates of all 4 atoms:
Pb (0.000, 0.000, 0.228)
I (0.500, 0.500, 0.500)
Bi (0.500, 0.500, 0.000)
Pb (0.000, 0.000, 0.772)


Number 1: total energy -0.1241 hartree per atom, D(E_F) 0.1 states/eV/f.u.. Number 2: total energy -0.1204 hartree per atom, D(E_F) 0.5 states/eV/f.u.. Number 3: total energy -0.0950 hartree per atom, D(E_F) 4.4 states/eV/f.u.. Number 4: total energy -0.1138 hartree per atom, D(E_F) 0.7 states/eV/f.u.. Number 5: total energy -0.0899 hartree per atom, D(E_F) 15.0 states/eV/f.u.. Number 6: total energy -0.1226 hartree per atom, D(E_F) 1.8 states/eV/f.u..